Record 1
Compound: La2TaClO
Source: the Alexandria database
Functional: GGA-PBEsol
Structure: relaxed

Properties
Formation energy without anion corrections = -1.15 eV per atom
Magnetic moment = 0.0 μB per formula unit
E = -7.246 eV/atom

Cell lengths 5.2430, 5.2430, 3.9343 Å; angles 90.00, 90.00, 90.00 degrees
Last column: nearest neighbours and their distance in Å.
Space group P4/mmm (No. 123)
One atom of each set of equivalent atoms:
La 0.0000 0.5000 0.0000 (multiplicity 2)  2 O 2.62
Ta 0.0000 0.0000 0.5000 (multiplicity 1)  2 O 1.97
Cl 0.5000 0.5000 0.5000 (multiplicity 1)  8 La 3.28
O 0.0000 0.0000 0.0000 (multiplicity 1)  2 Ta 1.97



Record 2
Compound: La3UCl3O6
Source: the Alexandria database
Functional: GGA-PBEsol
Structure: relaxed

Properties
Formation energy without anion corrections = -3.18 eV per atom
Magnetic moment = 0.0 μB per formula unit
E = -8.232 eV/atom

Cell lengths 9.4389, 9.4389, 5.5768 Å; angles 90.00, 90.00, 120.00 degrees
Last column: nearest neighbours and their distance in Å.
Space group P6_3/m (No. 176)
One atom of each set of equivalent atoms:
La 0.0914 0.4043 0.2500 (multiplicity 6)  6 O 2.42-2.67
U 0.3333 0.6667 0.7500 (multiplicity 2)  6 O 2.08
Cl 0.0590 0.2500 0.7500 (multiplicity 6)  4 La 3.01-3.09, 4 O 3.04-3.06
O 0.1520 0.6347 0.5073 (multiplicity 12)  1 U 2.08



Record 3
Compound: La3WCl3O6
Source: the Alexandria database
Functional: GGA-PBEsol
Structure: relaxed

Properties
Formation energy without anion corrections = -2.94 eV per atom
Magnetic moment = 0.0 μB per formula unit
E = -8.127 eV/atom

Cell lengths 9.3427, 9.3427, 5.3841 Å; angles 90.00, 90.00, 120.00 degrees
Last column: nearest neighbours and their distance in Å.
Space group P6_3/m (No. 176)
One atom of each set of equivalent atoms:
La 0.0910 0.4041 0.2500 (multiplicity 6)  6 O 2.42-2.64
W 0.3333 0.6667 0.7500 (multiplicity 2)  6 O 1.93
Cl 0.0488 0.2401 0.7500 (multiplicity 6)  4 La 2.94-3.04, 4 O 3.07-3.09
O 0.1618 0.6373 0.5196 (multiplicity 12)  1 W 1.93



Record 4
Compound: LaOsCl2
Source: the Alexandria database
Functional: GGA-PBEsol
Structure: relaxed

Properties
Polymorph energy (0 for the lowest one) = 0.000 eV/f.u.
Formation energy without anion corrections = -0.62 eV per atom
Magnetic moment = 0.6 μB per formula unit
E = -6.018 eV/atom

Cell lengths 12.2060, 3.5526, 4.6335 Å; angles 90.00, 90.60, 90.00 degrees
Last column: nearest neighbours and their distance in Å.
Space group C2/m (No. 12)
One atom of each set of equivalent atoms:
La 0.0000 0.0000 0.0000 (multiplicity 2)  4 Os 2.92, 4 Cl 2.92
Os 0.0000 0.5000 0.5000 (multiplicity 2)  2 Cl 2.33
Cl 0.1654 0.5000 0.7567 (multiplicity 4)  1 Os 2.33



Record 5
Compound: LaOsCl2
Source: the Alexandria database
Functional: GGA-PBEsol
Structure: relaxed

Properties
Polymorph energy (0 for the lowest one) = 1.466 eV/f.u.
Formation energy without anion corrections = -0.26 eV per atom
Magnetic moment = 1.3 μB per formula unit
E = -5.651 eV/atom

Cell lengths 3.2608, 3.2608, 8.3313 Å; angles 90.00, 90.00, 90.00 degrees
Last column: nearest neighbours and their distance in Å.
Space group P4mm (No. 99)
One atom of each set of equivalent atoms:
La 0.0000 0.0000 0.0000 (multiplicity 1)  4 Cl 2.95, 4 Os 3.10, 4 La 3.26
Os 0.5000 0.5000 0.2489 (multiplicity 1)  4 Cl 2.68
Cl 0.0000 0.0000 0.4127 (multiplicity 1)  4 Os 2.68
Cl 0.5000 0.5000 0.7791 (multiplicity 1)  4 La 2.95, 4 Cl 3.26



Record 6
Compound: La2OsCl
Source: the Alexandria database
Functional: GGA-PBEsol
Structure: relaxed

Properties
Polymorph energy (0 for the lowest one) = 0.008 eV/f.u.
Formation energy without anion corrections = -0.85 eV per atom
Magnetic moment = 0.0 μB per formula unit
E = -7.079 eV/atom

Cell lengths 4.1167, 4.1167, 22.1048 Å; angles 90.00, 90.00, 120.00 degrees
Last column: nearest neighbours and their distance in Å.
Space group R-3m (No. 166, hexagonal axes)
One atom of each set of equivalent atoms:
La 0.0000 0.0000 0.2356 (multiplicity 6)  3 Os 2.82
Os 0.0000 0.0000 0.5000 (multiplicity 3)  6 La 2.82
Cl 0.0000 0.0000 0.0000 (multiplicity 3)  6 La 3.21